No. 1
A plane-wave DFT calculation with PBE was carried out for a geometry-optimized ReNiAu2 structure.

Geometry as CIF:
```
data_ReNiAu2
_chemical_formula_sum 'Re2 Ni2 Au4'
_symmetry_space_group_name_H-M 'I -4 m 2'
_symmetry_Int_Tables_number 119
_symmetry_space_group_name_Hall 'I -4 -2'
_cell_length_a 4.019
_cell_length_b 4.019
_cell_length_c 7.637
_cell_angle_alpha 90.00
_cell_angle_beta 90.00
_cell_angle_gamma 90.00
loop_
_atom_site_label
_atom_site_type_symbol
_atom_site_fract_x
_atom_site_fract_y
_atom_site_fract_z
Re1 Re 0.000 0.000 0.000
Ni1 Ni 0.000 0.500 0.250
Au1 Au 0.000 0.000 0.500
Au2 Au 0.000 0.500 0.750
```

Results
ΔE to the lowest computed polymorph = 377 meV per atom

***

No. 2
A plane-wave DFT calculation with PBE was carried out for a geometry-optimized TbHo2Er structure.

Geometry as CIF:
```
data_TbHo2Er
_chemical_formula_sum 'Tb4 Ho8 Er4'
_symmetry_space_group_name_H-M 'A m a 2'
_symmetry_Int_Tables_number 40
_symmetry_space_group_name_Hall 'A 2 -2a'
_cell_length_a 5.581
_cell_length_b 12.462
_cell_length_c 7.213
_cell_angle_alpha 90.00
_cell_angle_beta 90.00
_cell_angle_gamma 90.00
loop_
_atom_site_label
_atom_site_type_symbol
_atom_site_fract_x
_atom_site_fract_y
_atom_site_fract_z
Tb1 Tb 0.250 0.166 0.000
Ho1 Ho 0.250 0.166 0.500
Ho2 Ho 0.250 0.417 0.750
Er1 Er 0.250 0.417 0.250
```

Results
ΔE to the lowest computed polymorph = 0 meV per atom

***

No. 3
A plane-wave DFT calculation with PBE was carried out for a geometry-optimized SrLiPd structure.

Geometry as CIF:
```
data_SrLiPd
_chemical_formula_sum 'Sr4 Li4 Pd4'
_symmetry_space_group_name_H-M 'P 1 21/c 1'
_symmetry_Int_Tables_number 14
_symmetry_space_group_name_Hall '-P 2ybc'
_cell_length_a 6.431
_cell_length_b 5.985
_cell_length_c 8.155
_cell_angle_alpha 90.00
_cell_angle_beta 112.30
_cell_angle_gamma 90.00
loop_
_atom_site_label
_atom_site_type_symbol
_atom_site_fract_x
_atom_site_fract_y
_atom_site_fract_z
Sr1 Sr 0.183 0.120 0.370
Li1 Li 0.415 0.606 0.312
Pd1 Pd 0.197 0.626 0.531
```

Results
ΔE to the lowest computed polymorph = 16 meV per atom

***

No. 4
A plane-wave DFT calculation with PBE was carried out for a geometry-optimized Pm6Ho2Er3Tm structure.

Geometry as CIF:
```
data_Pm6Ho2Er3Tm
_chemical_formula_sum 'Pm12 Ho4 Er6 Tm2'
_symmetry_space_group_name_H-M 'C 1 2/m 1'
_symmetry_Int_Tables_number 12
_symmetry_space_group_name_Hall '-C 2y'
_cell_length_a 6.215
_cell_length_b 10.762
_cell_length_c 11.753
_cell_angle_alpha 90.00
_cell_angle_beta 100.11
_cell_angle_gamma 90.00
loop_
_atom_site_label
_atom_site_type_symbol
_atom_site_fract_x
_atom_site_fract_y
_atom_site_fract_z
Pm1 Pm 0.249 0.000 0.250
Pm2 Pm 0.250 0.167 0.750
Ho1 Ho 0.000 0.333 0.500
Er1 Er 0.000 0.167 0.000
Er2 Er 0.000 0.500 0.000
Tm1 Tm 0.000 0.000 0.500
```

***

No. 5
A plane-wave DFT calculation with PBE was carried out for a geometry-optimized Ba3PdRu structure.

Geometry as CIF:
```
data_Ba3PdRu
_chemical_formula_sum 'Ba3 Pd1 Ru1'
_symmetry_space_group_name_H-M 'P m -3 m'
_symmetry_Int_Tables_number 221
_symmetry_space_group_name_Hall '-P 4 2 3'
_cell_length_a 5.785
_cell_length_b 5.785
_cell_length_c 5.785
_cell_angle_alpha 90.00
_cell_angle_beta 90.00
_cell_angle_gamma 90.00
loop_
_atom_site_label
_atom_site_type_symbol
_atom_site_fract_x
_atom_site_fract_y
_atom_site_fract_z
Ba1 Ba 0.000 0.000 0.500
Pd1 Pd 0.500 0.500 0.500
Ru1 Ru 0.000 0.000 0.000
```

Results
ΔE to the lowest computed polymorph = 0 meV per atom

***

No. 6
A plane-wave DFT calculation with PBE was carried out for a geometry-optimized Hf2SbP structure.

Geometry as CIF:
```
data_Hf2SbP
_chemical_formula_sum 'Hf6 Sb3 P3'
_symmetry_space_group_name_H-M 'R -3 m'
_symmetry_Int_Tables_number 166
_symmetry_space_group_name_Hall '-R 3 2"'
_cell_length_a 3.8340
_cell_length_b 3.8340
_cell_length_c 19.7586
_cell_angle_alpha 90.00
_cell_angle_beta 90.00
_cell_angle_gamma 120.00
loop_
_atom_site_label
_atom_site_type_symbol
_atom_site_fract_x
_atom_site_fract_y
_atom_site_fract_z
Hf1 Hf 0.0000 0.0000 0.2334
Sb1 Sb 0.0000 0.0000 0.0000
P1 P 0.0000 0.0000 0.5000
```

Results
ΔE to the lowest computed polymorph = 116 meV per atom
raw formation energy = -870 meV/atom

***

No. 7
A plane-wave DFT calculation with PBE was carried out for a geometry-optimized MoWAu2 structure.

Geometry as CIF:
```
data_MoWAu2
_chemical_formula_sum 'Mo2 W2 Au4'
_symmetry_space_group_name_H-M 'I m m 2'
_symmetry_Int_Tables_number 44
_symmetry_space_group_name_Hall 'I 2 -2'
_cell_length_a 3.163
_cell_length_b 4.783
_cell_length_c 9.240
_cell_angle_alpha 90.00
_cell_angle_beta 90.00
_cell_angle_gamma 90.00
loop_
_atom_site_label
_atom_site_type_symbol
_atom_site_fract_x
_atom_site_fract_y
_atom_site_fract_z
Mo1 Mo 0.000 0.000 0.000
W1 W 0.000 0.500 0.707
Au1 Au 0.000 0.000 0.462
Au2 Au 0.000 0.500 0.228
```

Results
ΔE to the lowest computed polymorph = 201 meV per atom

***

No. 8
A plane-wave DFT calculation with PBE was carried out for a geometry-optimized MgSi2Ru3 structure.

Geometry as CIF:
```
data_MgSi2Ru3
_chemical_formula_sum 'Mg1 Si2 Ru3'
_symmetry_space_group_name_H-M 'P 4/m m m'
_symmetry_Int_Tables_number 123
_symmetry_space_group_name_Hall '-P 4 2'
_cell_length_a 2.973
_cell_length_b 2.973
_cell_length_c 9.191
_cell_angle_alpha 90.00
_cell_angle_beta 90.00
_cell_angle_gamma 90.00
loop_
_atom_site_label
_atom_site_type_symbol
_atom_site_fract_x
_atom_site_fract_y
_atom_site_fract_z
Mg1 Mg 0.000 0.000 0.000
Si1 Si 0.000 0.000 0.333
Ru1 Ru 0.500 0.500 0.194
Ru2 Ru 0.500 0.500 0.500
```

Results
raw formation energy = -484 meV/atom

***

No. 9
A plane-wave DFT calculation with PBE was carried out for a geometry-optimized Rb3PuTe2O9 structure.

Geometry as CIF:
```
data_Rb3PuTe2O9
_chemical_formula_sum 'Rb3 Pu1 Te2 O9'
_symmetry_space_group_name_H-M 'P -3 m 1'
_symmetry_Int_Tables_number 164
_symmetry_space_group_name_Hall '-P 3 2"'
_cell_length_a 6.0714
_cell_length_b 6.0714
_cell_length_c 7.4422
_cell_angle_alpha 90.00
_cell_angle_beta 90.00
_cell_angle_gamma 120.00
loop_
_atom_site_label
_atom_site_type_symbol
_atom_site_fract_x
_atom_site_fract_y
_atom_site_fract_z
Rb1 Rb 0.0000 0.0000 0.0000
Rb2 Rb 0.3333 0.6667 0.6613
Pu1 Pu 0.0000 0.0000 0.5000
Te1 Te 0.3333 0.6667 0.1529
O1 O 0.0000 0.5000 0.0000
O2 O 0.1573 0.3145 0.3395
```

Results
raw formation energy = -1640 meV/atom

***

No. 10
A plane-wave DFT calculation with PBE was carried out for a geometry-optimized Cs2S3 structure.

Geometry as CIF:
```
data_Cs2S3
_chemical_formula_sum 'Cs8 S12'
_symmetry_space_group_name_H-M 'C m c 21'
_symmetry_Int_Tables_number 36
_symmetry_space_group_name_Hall 'C 2c -2'
_cell_length_a 7.827
_cell_length_b 11.209
_cell_length_c 8.399
_cell_angle_alpha 90.00
_cell_angle_beta 90.00
_cell_angle_gamma 90.00
loop_
_atom_site_label
_atom_site_type_symbol
_atom_site_fract_x
_atom_site_fract_y
_atom_site_fract_z
Cs1 Cs 0.000 0.078 0.000
Cs2 Cs 0.000 0.394 0.770
S1 S 0.000 0.301 0.291
S2 S 0.217 0.341 0.156
```

Results
raw formation energy = -824 meV/atom

***

Number 1: spin magnetization 0.7 μB/f.u., electronic total energy -45.19 eV/cell. Number 2: spin magnetization 0.0 μB/f.u., electronic total energy -73.34 eV/cell. Number 3: spin magnetization 0.0 μB/f.u., electronic total energy -40.37 eV/cell. Number 4: spin magnetization 0.0 μB/f.u., electronic total energy -111.31 eV/cell. Number 5: spin magnetization 0.0 μB/f.u., electronic total energy -19.06 eV/cell. Number 6: spin magnetization 0.0 μB/f.u., electronic total energy -98.76 eV/cell. Number 7: spin magnetization 0.0 μB/f.u., electronic total energy -57.43 eV/cell. Number 8: spin magnetization 0.0 μB/f.u., electronic total energy -43.17 eV/cell. Number 9: spin magnetization 1.0 μB/f.u., electronic total energy -92.75 eV/cell. Number 10: spin magnetization 0.0 μB/f.u., electronic total energy -72.85 eV/cell.